# 1
Here is crystalline YGa2Os at its relaxed geometry from Alexandria via LeMat-Bulk. Energies are from PBE.

Calculated values
The formation energy is 0.2 eV per formula unit. The total magnetization is 0.0 μB/cell. As for the total energy: -5.88 eV/atom.

a = 9.2552 Å, b = 9.2552 Å, c = 9.2552 Å
α = 151.78°, β = 151.78°, γ = 40.34°
Closest atoms and distances in Å follow each position.
Element x y z (fractional)
Y  0.0000  0.0000  0.0000  4 Ga 3.04, 4 Os 3.19
Y  0.7500  0.2500  0.5000  4 Ga 3.04, 4 Os 3.19
Ga  0.2743  0.6250  0.1493  2 Ga 2.43, 2 Os 2.49
Ga  0.3750  0.5243  0.6493  2 Ga 2.43, 2 Os 2.49
Ga  0.4757  0.1250  0.8507  2 Ga 2.43, 2 Os 2.49
Ga  0.8750  0.7257  0.3507  2 Ga 2.43, 2 Os 2.49
Os  0.2500  0.7500  0.5000  4 Ga 2.49
Os  0.5000  0.5000  0.0000  4 Ga 2.49

# 2
Here is crystalline LaCu2W at its relaxed geometry from Alexandria via LeMat-Bulk. Energies are from PBE.

Calculated values
The formation energy is 2.1 eV per formula unit. The total magnetization is 0.5 μB/cell. The energy above the most stable polymorph in this dataset is 174 meV/atom. As for the total energy: -5.98 eV/atom.

a = 4.9379 Å, b = 4.9379 Å, c = 2.9031 Å
α = 90.00°, β = 90.00°, γ = 90.00°
Closest atoms and distances in Å follow each position.
Element x y z (fractional)
La  0.0000  0.0000  0.0000  8 Cu 2.86, 2 La 2.90
Cu  0.0000  0.5000  0.5000  4 La 2.86, 4 W 2.86, 2 Cu 2.90
Cu  0.5000  0.0000  0.5000  4 La 2.86, 4 W 2.86, 2 Cu 2.90
W  0.5000  0.5000  0.0000  8 Cu 2.86, 2 W 2.90

# 3
Here is crystalline KCo5 at its relaxed geometry from Alexandria via LeMat-Bulk. Energies are from PBE.

Calculated values
The formation energy is 3.2 eV per formula unit. The total magnetization is 8.0 μB/cell. The energy above the most stable polymorph in this dataset is 76 meV/atom. As for the total energy: -5.56 eV/atom.

a = 6.1896 Å, b = 6.1896 Å, c = 6.0869 Å
α = 103.63°, β = 103.63°, γ = 23.55°
Closest atoms and distances in Å follow each position.
Element x y z (fractional)
K  0.0000  0.0000  0.0000  2 K 2.53
Co  0.2251  0.2251  0.8579  7 Co 2.34-2.53
Co  0.3166  0.3166  0.5606  9 Co 2.34-2.53
Co  0.6417  0.6417  0.5130  9 Co 2.42-2.68
Co  0.7715  0.7715  0.2132  8 Co 2.41-2.68
Co  0.9676  0.9676  0.4764  7 Co 2.38-2.53

Which value of total magnetization does entry 3 give?
8.0 μB/cell